Record 1
SrCu2Rh | GGA-PBE | optimized geometry

Results
Final energy   -16.7 eV/cell
Mass density   7191 kg/m³

a = 3.367 Å, b = 3.368 Å, c = 6.468 Å
α = 90.00°, β = 90.00°, γ = 90.00°
Sites, in units of the cell vectors:
1 Cu 0.000 0.000 0.066
2 Cu 0.000 0.000 0.434
3 Rh 0.500 0.500 0.250
4 Sr 0.500 0.500 0.750

=====

Record 2
SrCuRh2 | GGA-PBE | optimized geometry

Results
Final energy   -19.8 eV/cell
Mass density   7915 kg/m³

a = 3.296 Å, b = 3.296 Å, c = 6.895 Å
α = 90.00°, β = 90.00°, γ = 90.00°
Sites, in units of the cell vectors:
1 Rh 0.000 0.000 0.993
2 Rh 0.500 0.500 0.189
3 Cu 0.500 0.500 0.819
4 Sr 0.000 0.000 0.499

=====

Record 3
SrCuRh2 | GGA-PBE | optimized geometry

Results
Final energy   -19.9 eV/cell
Mass density   7898 kg/m³

a = 4.788 Å, b = 4.788 Å, c = 5.489 Å
α = 77.16°, β = 77.16°, γ = 37.86°
Sites, in units of the cell vectors:
1 Rh 0.981 0.981 0.073
2 Rh 0.519 0.519 0.427
3 Sr 0.750 0.750 0.750
4 Cu 0.250 0.250 0.250

=====

Record 4
SrCu2Rh | GGA-PBE | optimized geometry

Results
Final energy   -16.7 eV/cell
Mass density   7273 kg/m³

a = 3.254 Å, b = 3.254 Å, c = 6.849 Å
α = 90.00°, β = 90.00°, γ = 90.06°
Sites, in units of the cell vectors:
1 Sr 0.500 0.500 0.740
2 Cu 0.000 0.000 0.076
3 Cu 0.500 0.500 0.242
4 Rh 0.000 0.000 0.443

=====

Record 5
SrCuRh2 | GGA-PBE | optimized geometry

Results
Final energy   -19.5 eV/cell
Mass density   8396 kg/m³

a = 3.118 Å, b = 4.839 Å, c = 4.680 Å
α = 90.00°, β = 90.00°, γ = 90.00°
Sites, in units of the cell vectors:
1 Rh 0.500 0.500 0.000
2 Rh 0.000 0.000 0.000
3 Sr 0.500 0.000 0.500
4 Cu 0.000 0.500 0.500

=====

Record 6
SrCuTc2Rh | GGA-PBE | optimized geometry

Results
Final energy   -28.0 eV/cell
Mass density   7279 kg/m³

a = 4.631 Å, b = 4.788 Å, c = 4.631 Å
α = 90.00°, β = 90.00°, γ = 90.00°
Sites, in units of the cell vectors:
1 Tc 0.000 0.000 0.500
2 Tc 0.500 0.000 0.000
3 Sr 0.500 0.500 0.500
4 Cu 0.000 0.000 0.000
5 Rh 0.000 0.500 0.000

=====

Record 7
Sr2Zn4CuRh3 | GGA-PBE | optimized geometry

Results
Final energy   -37.8 eV/cell
Mass density   6949 kg/m³

a = 4.263 Å, b = 4.263 Å, c = 10.642 Å
α = 90.00°, β = 90.00°, γ = 90.00°
Sites, in units of the cell vectors:
1 Rh 0.000 0.000 0.500
2 Rh 0.000 0.500 0.133
3 Rh 0.500 0.000 0.867
4 Zn 0.500 0.000 0.629
5 Zn 0.500 0.500 0.000
6 Zn 0.000 0.500 0.371
7 Zn 0.000 0.000 0.000
8 Sr 0.500 0.000 0.247
9 Sr 0.000 0.500 0.753
10 Cu 0.500 0.500 0.500

=====

Record 8
SrZn4Cu2Rh | GGA-PBE | optimized geometry

Results
Final energy   -23.7 eV/cell
Mass density   6724 kg/m³

a = 4.218 Å, b = 4.218 Å, c = 9.600 Å
α = 77.31°, β = 77.31°, γ = 60.00°
Sites, in units of the cell vectors:
1 Rh 0.500 0.500 0.500
2 Cu 0.229 0.229 0.313
3 Cu 0.771 0.771 0.687
4 Zn 0.867 0.867 0.399
5 Zn 0.410 0.410 0.771
6 Zn 0.133 0.133 0.601
7 Zn 0.590 0.590 0.229
8 Sr 0.000 0.000 0.000

=====

Record 9
TaCuRh2 | GGA-PBE | optimized geometry

Results
Final energy   -32.4 eV/cell
Mass density   12687 kg/m³

a = 3.178 Å, b = 3.248 Å, c = 6.570 Å
α = 60.37°, β = 90.00°, γ = 90.00°
Sites, in units of the cell vectors:
1 Rh 0.000 0.004 0.996
2 Rh 0.000 0.496 0.504
3 Cu 0.500 0.750 0.750
4 Ta 0.500 0.250 0.250

=====

Record 10
TaCu3Rh4 | GGA-PBE | optimized geometry

Results
Final energy   -110.2 eV/cell
Mass density   11683 kg/m³

a = 4.433 Å, b = 5.760 Å, c = 8.719 Å
α = 90.00°, β = 90.00°, γ = 90.00°
Sites, in units of the cell vectors:
1 Ta 0.000 0.500 0.500
2 Ta 0.000 0.500 0.000
3 Rh 0.086 0.242 0.750
4 Rh 0.914 0.758 0.250
5 Rh 0.086 0.758 0.750
6 Rh 0.500 0.753 0.000
7 Rh 0.500 0.753 0.500
8 Rh 0.500 0.247 0.000
9 Rh 0.914 0.242 0.250
10 Rh 0.500 0.247 0.500
11 Cu 0.407 0.000 0.250
12 Cu 0.000 0.000 0.500
13 Cu 0.593 0.000 0.750
14 Cu 0.000 0.000 0.000
15 Cu 0.417 0.500 0.250
16 Cu 0.583 0.500 0.750

=====

Record 11
TaCuRh2 | GGA-PBE | optimized geometry

Results
Final energy   -32.2 eV/cell
Mass density   12902 kg/m³

a = 4.852 Å, b = 4.852 Å, c = 4.852 Å
α = 134.08°, β = 134.11°, γ = 66.93°
Sites, in units of the cell vectors:
1 Ta 0.500 0.500 0.000
2 Cu 0.250 0.750 0.500
3 Rh 0.750 0.250 0.500
4 Rh 0.000 0.000 0.000

=====

Record 12
Ta2CuRh2 | GGA-PBE | optimized geometry

Results
Final energy   -86.9 eV/cell
Mass density   12732 kg/m³

a = 7.411 Å, b = 7.411 Å, c = 2.998 Å
α = 90.00°, β = 90.00°, γ = 90.00°
Sites, in units of the cell vectors:
1 Rh 0.634 0.134 0.000
2 Rh 0.134 0.366 0.000
3 Rh 0.366 0.866 0.000
4 Rh 0.866 0.634 0.000
5 Ta 0.833 0.333 0.500
6 Ta 0.333 0.167 0.500
7 Ta 0.167 0.667 0.500
8 Ta 0.667 0.833 0.500
9 Cu 0.500 0.500 0.000
10 Cu 0.000 0.000 0.000

=====

Record 13
Ta2Cu2Rh | GGA-PBE | optimized geometry

Results
Final energy   -78.5 eV/cell
Mass density   13154 kg/m³

a = 6.629 Å, b = 6.629 Å, c = 3.400 Å
α = 90.00°, β = 90.00°, γ = 90.00°
Sites, in units of the cell vectors:
1 Cu 0.373 0.873 0.000
2 Cu 0.127 0.373 0.000
3 Cu 0.873 0.627 0.000
4 Cu 0.627 0.127 0.000
5 Ta 0.326 0.174 0.500
6 Ta 0.174 0.674 0.500
7 Ta 0.826 0.326 0.500
8 Ta 0.674 0.826 0.500
9 Rh 0.500 0.500 0.000
10 Rh 0.000 0.000 0.000

=====

Record 14
TaCuRh2 | GGA-PBE | optimized geometry

Results
Final energy   -32.5 eV/cell
Mass density   12821 kg/m³

a = 4.111 Å, b = 4.512 Å, c = 4.111 Å
α = 117.10°, β = 90.00°, γ = 117.10°
Sites, in units of the cell vectors:
1 Rh 0.750 0.500 0.250
2 Rh 0.250 0.500 0.750
3 Cu 0.000 0.000 0.000
4 Ta 0.500 0.000 0.500

=====

Record 15
TaCuRh2 | GGA-PBE | optimized geometry

Results
Final energy   -30.9 eV/cell
Mass density   12727 kg/m³

a = 2.792 Å, b = 2.792 Å, c = 7.537 Å
α = 90.00°, β = 90.00°, γ = 90.00°
Sites, in units of the cell vectors:
1 Ta 0.000 0.000 0.506
2 Rh 0.500 0.500 0.244
3 Rh 0.000 0.000 0.991
4 Cu 0.500 0.500 0.759

=====

Record 16
Ta2CuRh4 | GGA-PBE | optimized geometry

Results
Final energy   -58.2 eV/cell
Mass density   13029 kg/m³

a = 2.772 Å, b = 4.271 Å, c = 9.365 Å
α = 103.18°, β = 98.51°, γ = 90.00°
Sites, in units of the cell vectors:
1 Ta 0.584 0.584 0.167
2 Ta 0.416 0.416 0.833
3 Rh 0.772 0.272 0.543
4 Rh 0.228 0.728 0.457
5 Rh 0.139 0.139 0.279
6 Rh 0.861 0.861 0.721
7 Cu 0.000 0.000 0.000

=====

Record 17
Ta2CuRh2 | GGA-PBE | optimized geometry

Results
Final energy   -85.6 eV/cell
Mass density   12432 kg/m³

a = 7.687 Å, b = 7.687 Å, c = 2.854 Å
α = 90.00°, β = 90.00°, γ = 90.00°
Sites, in units of the cell vectors:
1 Rh 0.640 0.860 0.500
2 Rh 0.360 0.140 0.500
3 Rh 0.860 0.360 0.500
4 Rh 0.140 0.640 0.500
5 Cu 0.000 0.000 0.000
6 Cu 0.500 0.500 0.000
7 Ta 0.345 0.845 0.000
8 Ta 0.845 0.655 0.000
9 Ta 0.655 0.155 0.000
10 Ta 0.155 0.345 0.000

=====

Record 18
TaCuRh2 | GGA-PBE | optimized geometry

Results
Final energy   -31.5 eV/cell
Mass density   12474 kg/m³

a = 3.313 Å, b = 3.313 Å, c = 5.460 Å
α = 90.00°, β = 90.00°, γ = 90.00°
Sites, in units of the cell vectors:
1 Rh 0.000 0.000 0.961
2 Rh 0.500 0.500 0.272
3 Ta 0.000 0.000 0.505
4 Cu 0.500 0.500 0.762

=====

Record 19
TaCu4Rh | GGA-PBE | optimized geometry

Results
Final energy   -36.3 eV/cell
Mass density   11459 kg/m³

a = 4.795 Å, b = 4.795 Å, c = 4.795 Å
α = 60.00°, β = 60.00°, γ = 60.00°
Sites, in units of the cell vectors:
1 Cu 0.874 0.375 0.375
2 Cu 0.375 0.375 0.375
3 Cu 0.375 0.375 0.874
4 Cu 0.375 0.874 0.375
5 Ta 0.000 0.000 0.000
6 Rh 0.750 0.750 0.750

=====

Record 20
Ta4CuRh | GGA-PBE | optimized geometry

Results
Final energy   -56.1 eV/cell
Mass density   13758 kg/m³

a = 5.336 Å, b = 5.336 Å, c = 5.336 Å
α = 60.00°, β = 60.00°, γ = 60.00°
Sites, in units of the cell vectors:
1 Ta 0.375 0.875 0.375
2 Ta 0.375 0.375 0.375
3 Ta 0.875 0.375 0.375
4 Ta 0.375 0.375 0.875
5 Cu 0.750 0.750 0.750
6 Rh 0.000 0.000 0.000